7
Lattice="-1.243 2.182 2.568 -2.250 -2.575 1.098 3.917 -2.973 6.933" Properties=species:S:1:pos:R:3 comment="Li4Cu2N (GGA-PBE, optimized geometry)" mass_density_g_cm3=2.68 space_group="No. 139" magnetic_moment_mub_per_atom=0.000 e_form_raw_ev_per_atom=-0.02 energy_ev_per_atom=-3.475 pbc="T T T"
Li -2.134 -1.060 4.890
Li 2.557 -2.306 5.709
Li -1.125 -1.287 0.549
Li -0.622 1.091 1.284
Cu -0.448 -1.886 6.409
Cu 0.871 -1.480 4.190
N 0.000 0.000 0.000